Crystalline Ce3Tm2Th3 at its relaxed geometry. Source: Alexandria, functional GGA-PBE.

Lattice parameters (Å, degrees): 6.057 6.073 8.536 118.32 118.28 70.37
Last column: magnetic moment on the atom in μB.
Fractional positions:
Th (0.626, 0.126, 0.252)  0.01
Th (0.374, 0.874, 0.748)  0.01
Ce (0.123, 0.623, 0.245)  0.24
Ce (0.000, 0.000, 0.000)  0.12
Th (0.500, 0.500, 0.000)  0.01
Tm (0.251, 0.251, 0.502)  0.01
Tm (0.749, 0.749, 0.498)  0.01
Ce (0.877, 0.377, 0.755)  0.24

Values from the calculation:
formation energy from the elements: 58 meV/atom